{
  "formula": "ZnSi",
  "functional": "PBE",
  "state": "optimized geometry",
  "e_tot_ev_per_atom": -3.049,
  "cell": [[-3.801, -2.472, -0.044], [-0.400, -3.729, 6.308], [-2.493, 3.797, 2.086]],
  "species": ["Si", "Si", "Zn", "Zn", "Zn", "Si", "Si", "Zn", "Zn", "Si"],
  "frac_coords": [[0.192, 0.221, 0.500], [0.610, 0.382, 0.500], [0.739, 0.990, 0.500], [0.926, 0.996, 0.000], [0.930, 0.609, 0.500], [0.535, 0.803, 0.000], [0.271, 0.209, 0.000], [0.326, 0.799, 0.500], [0.123, 0.604, 0.000], [0.680, 0.386, 0.000]]
}